# SCAN LaGa3Fe, single point on PBEsol structure
# ΔE_f, eV per atom: -0.48
data_LaGa3Fe
_chemical_formula_sum 'La1 Ga3 Fe1'
_space_group_name_H-M_alt 'P m -3 m'
_space_group_IT_number 221
_space_group_name_Hall '-P 4 2 3'
_cell_length_a 4.536
_cell_length_b 4.536
_cell_length_c 4.536
_cell_angle_alpha 90.00
_cell_angle_beta 90.00
_cell_angle_gamma 90.00
loop_
_atom_site_label
_atom_site_type_symbol
_atom_site_fract_x
_atom_site_fract_y
_atom_site_fract_z
La1 La 0.000 0.000 0.000
Ga1 Ga 0.000 0.500 0.500
Fe1 Fe 0.500 0.500 0.500

---

# SCAN BaTaCo2, single point on PBEsol structure
# ΔE_f, eV per atom: 0.64
data_BaTaCo2
_chemical_formula_sum 'Ba1 Ta1 Co2'
_space_group_name_H-M_alt 'P 4 m m'
_space_group_IT_number 99
_cell_length_a 3.202
_cell_length_b 3.202
_cell_length_c 7.554
_cell_angle_alpha 90.00
_cell_angle_beta 90.00
_cell_angle_gamma 90.00
loop_
_space_group_symop_operation_xyz
'x,y,z'
'-y,x,z'
'-x,-y,z'
'y,-x,z'
'-x,y,z'
'y,x,z'
'x,-y,z'
'-y,-x,z'
loop_
_atom_site_label
_atom_site_type_symbol
_atom_site_fract_x
_atom_site_fract_y
_atom_site_fract_z
Ba1 Ba 0.000 0.000 0.000
Ta1 Ta 0.500 0.500 0.396
Co1 Co 0.000 0.000 0.532
Co2 Co 0.500 0.500 0.695

---

# SCAN YRe2As, single point on PBEsol structure
# ΔE_f, eV per atom: 0.47
data_YRe2As
_chemical_formula_sum 'Y1 Re2 As1'
_space_group_name_H-M_alt 'P m m m'
_space_group_IT_number 47
_cell_length_a 3.020
_cell_length_b 4.163
_cell_length_c 5.634
_cell_angle_alpha 90.00
_cell_angle_beta 90.00
_cell_angle_gamma 90.00
loop_
_space_group_symop_operation_xyz
'x,y,z'
'-x,-y,-z'
'-x,-y,z'
'x,y,-z'
'x,-y,-z'
'-x,y,z'
'-x,y,-z'
'x,-y,z'
loop_
_atom_site_label
_atom_site_type_symbol
_atom_site_fract_x
_atom_site_fract_y
_atom_site_fract_z
Y1 Y 0.000 0.000 0.000
Re1 Re 0.500 0.500 0.291
As1 As 0.000 0.000 0.500

---

# SCAN InRu3, single point on PBEsol structure
# ΔE_f, eV per atom: 0.24
data_InRu3
_chemical_formula_sum 'In2 Ru6'
_space_group_name_H-M_alt 'I m m 2'
_space_group_IT_number 44
_cell_length_a 2.799
_cell_length_b 8.885
_cell_length_c 4.744
_cell_angle_alpha 90.00
_cell_angle_beta 90.00
_cell_angle_gamma 90.00
loop_
_space_group_symop_operation_xyz
'x,y,z'
'-x,-y,z'
'-x,y,z'
'x,-y,z'
'x+1/2,y+1/2,z+1/2'
'-x+1/2,-y+1/2,z+1/2'
'-x+1/2,y+1/2,z+1/2'
'x+1/2,-y+1/2,z+1/2'
loop_
_atom_site_label
_atom_site_type_symbol
_atom_site_fract_x
_atom_site_fract_y
_atom_site_fract_z
In1 In 0.000 0.000 0.000
Ru1 Ru 0.000 0.235 0.638
Ru2 Ru 0.000 0.500 0.984

---

# SCAN CrPN3, single point on PBEsol structure
# Energy relative to the elements, uncorrected, kJ per mole of atoms: 112.8
data_CrPN3
_chemical_formula_sum 'Cr1 P1 N3'
_space_group_name_H-M_alt 'P m -3 m'
_space_group_IT_number 221
_space_group_name_Hall '-P 4 2 3'
_cell_length_a 3.683
_cell_length_b 3.683
_cell_length_c 3.683
_cell_angle_alpha 90.00
_cell_angle_beta 90.00
_cell_angle_gamma 90.00
loop_
_atom_site_label
_atom_site_type_symbol
_atom_site_fract_x
_atom_site_fract_y
_atom_site_fract_z
Cr1 Cr 0.000 0.000 0.000
P1 P 0.500 0.500 0.500
N1 N 0.000 0.000 0.500

---

# SCAN Ag2Br3, single point on PBEsol structure
# Energy relative to the elements, uncorrected, kJ per mole of atoms: -26.5
data_Ag2Br3
_chemical_formula_sum 'Ag16 Br24'
_space_group_name_H-M_alt 'F d d 2'
_space_group_IT_number 43
_space_group_name_Hall 'F 2 -2d'
_cell_length_a 12.202
_cell_length_b 12.827
_cell_length_c 6.539
_cell_angle_alpha 90.00
_cell_angle_beta 90.00
_cell_angle_gamma 90.00
loop_
_atom_site_label
_atom_site_type_symbol
_atom_site_fract_x
_atom_site_fract_y
_atom_site_fract_z
Ag1 Ag 0.124 0.053 0.000
Br1 Br 0.000 0.000 0.681
Br2 Br 0.035 0.321 0.623

---

# SCAN Na3Cd, single point on PBEsol structure
# ΔE_f, eV per atom: -0.06
data_Na3Cd
_chemical_formula_sum 'Na6 Cd2'
_space_group_name_H-M_alt 'P 63/m m c'
_space_group_IT_number 194
_space_group_name_Hall '-P 6c 2c'
_cell_length_a 6.9075
_cell_length_b 6.9075
_cell_length_c 5.5383
_cell_angle_alpha 90.00
_cell_angle_beta 90.00
_cell_angle_gamma 120.00
loop_
_atom_site_label
_atom_site_type_symbol
_atom_site_fract_x
_atom_site_fract_y
_atom_site_fract_z
Na1 Na 0.1735 0.3471 0.2500
Cd1 Cd 0.3333 0.6667 0.7500

---

# SCAN TiI3, single point on PBEsol structure
# Energy relative to the elements, uncorrected, kJ per mole of atoms: -80.6
data_TiI3
_chemical_formula_sum 'Ti2 I6'
_space_group_name_H-M_alt 'P 63/m c m'
_space_group_IT_number 193
_space_group_name_Hall '-P 6c 2'
_cell_length_a 7.1004
_cell_length_b 7.1004
_cell_length_c 6.2564
_cell_angle_alpha 90.00
_cell_angle_beta 90.00
_cell_angle_gamma 120.00
loop_
_atom_site_label
_atom_site_type_symbol
_atom_site_fract_x
_atom_site_fract_y
_atom_site_fract_z
Ti1 Ti 0.0000 0.0000 0.0000
I1 I 0.0000 0.3201 0.2500

---

One value per record, in order, for energy: -112.7; -138.2; -188.4; -273.8; -50.8; -979.9; -86.6; -259.2 eV/cell.